Computed, not measured: a relaxed structure of KAs2WO8 at the PBE+U level of DFT.

Results
**SG**: R-3
**Uncorrected energy**: -6.272 eV/atom

Lattice parameters (Å, degrees): 5.0870 5.0870 9.4078 74.31 74.31 60.00
Closest atoms and distances in Å follow each position.
Positions (direct):
1 O 0.6245 0.2545 0.1316  1 As 1.75
2 O 0.9895 0.6245 0.1316  1 As 1.75
3 O 0.7455 0.0105 0.8684  1 As 1.75
4 O 0.3755 0.7455 0.8684  1 As 1.75
5 O 0.0105 0.3755 0.8684  1 As 1.75
6 O 0.2545 0.9895 0.1316  1 As 1.75
7 O 0.2029 0.2029 0.3912  1 As 1.66
8 O 0.7971 0.7971 0.6088  1 As 1.66
9 As 0.7351 0.7351 0.7947  4 O 1.66-1.75
10 As 0.2649 0.2649 0.2053  4 O 1.66-1.75
11 K 0.5000 0.5000 0.5000  6 O 3.09
12 W 0.0000 0.0000 0.0000  6 O 1.99